Entry from Alexandria: an optimized crystal structure of CoRu2Rh (PBE).

a = 6.030 Å, b = 6.030 Å, c = 6.030 Å
α = 90.00°, β = 90.00°, γ = 90.00°
Space group Fm-3m (No. 225)
One atom of each set of equivalent atoms:
Co  0.000  0.000  0.000 [4 per cell]
Ru  0.250  0.250  0.250 [8 per cell]
Rh  0.000  0.000  0.500 [4 per cell]

Properties
E above lowest polymorph, meV/atom: 348
Magnetization, μB per atom: 0.757
N(E_F), states/eV/atom: 1.970

---

Entry from Alexandria: an optimized crystal structure of CoRuRh (PBE).

a = 4.1771 Å, b = 4.1771 Å, c = 2.6221 Å
α = 90.00°, β = 90.00°, γ = 120.00°
Space group P-6m2 (No. 187)
One atom of each set of equivalent atoms:
Co  0.0000  0.0000  0.0000 [1 per cell]
Ru  0.3333  0.6667  0.5000 [1 per cell]
Rh  0.6667  0.3333  0.0000 [1 per cell]

Properties
E above lowest polymorph, meV/atom: 121
Magnetization, μB per atom: 0.396
N(E_F), states/eV/atom: 1.366

---

Entry from Alexandria: an optimized crystal structure of Co2RuRh (PBE).

a = 3.731 Å, b = 3.731 Å, c = 3.581 Å
α = 90.00°, β = 90.00°, γ = 90.00°
Space group P4/mmm (No. 123)
One atom of each set of equivalent atoms:
Co  0.000  0.500  0.000 [2 per cell]
Ru  0.000  0.000  0.500 [1 per cell]
Rh  0.500  0.500  0.500 [1 per cell]

Properties
E above lowest polymorph, meV/atom: 33
Magnetization, μB per atom: 0.717
N(E_F), states/eV/atom: 1.360

---

Entry from Alexandria: an optimized crystal structure of Co2RuRh (PBE).

a = 5.886 Å, b = 5.886 Å, c = 5.886 Å
α = 90.00°, β = 90.00°, γ = 90.00°
Space group Fm-3m (No. 225)
One atom of each set of equivalent atoms:
Co  0.250  0.250  0.250 [8 per cell]
Ru  0.000  0.000  0.000 [4 per cell]
Rh  0.000  0.000  0.500 [4 per cell]

Properties
E above lowest polymorph, meV/atom: 177
Magnetization, μB per atom: 1.020
N(E_F), states/eV/atom: 2.437

---

Entry from Alexandria: an optimized crystal structure of CoRuRh (PBE).

a = 2.6652 Å, b = 2.6652 Å, c = 6.4103 Å
α = 90.00°, β = 90.00°, γ = 120.00°
Space group P3m1 (No. 156)
One atom of each set of equivalent atoms:
Co  0.0000  0.0000  0.0000 [1 per cell]
Ru  0.3333  0.6667  0.6825 [1 per cell]
Rh  0.6667  0.3333  0.3322 [1 per cell]

Properties
E above lowest polymorph, meV/atom: 20
Magnetization, μB per atom: 0.462
N(E_F), states/eV/atom: 1.348

---

Entry from Alexandria: an optimized crystal structure of CoRu2Rh (PBE).

a = 5.296 Å, b = 5.296 Å, c = 10.748 Å
α = 90.00°, β = 90.00°, γ = 90.00°
Space group I-42d (No. 122)
One atom of each set of equivalent atoms:
Co  0.000  0.000  0.000 [4 per cell]
Ru  0.225  0.250  0.125 [8 per cell]
Rh  0.000  0.000  0.500 [4 per cell]

Properties
E above lowest polymorph, meV/atom: 1045
Magnetization, μB per atom: 0.000
N(E_F), states/eV/atom: 0.559

---

Entry from Alexandria: an optimized crystal structure of CoRu2Rh (PBE).

a = 5.286 Å, b = 7.543 Å, c = 2.660 Å
α = 90.00°, β = 90.00°, γ = 90.00°
Space group Cmmm (No. 65)
One atom of each set of equivalent atoms:
Co  0.000  0.000  0.000 [2 per cell]
Ru  0.250  0.250  0.500 [4 per cell]
Rh  0.000  0.500  0.000 [2 per cell]

Properties
E above lowest polymorph, meV/atom: 56
Magnetization, μB per atom: 0.182
N(E_F), states/eV/atom: 1.504

---

Entry from Alexandria: an optimized crystal structure of Co2RuRh (PBE).

a = 5.932 Å, b = 5.932 Å, c = 5.932 Å
α = 90.00°, β = 90.00°, γ = 90.00°
Space group F-43m (No. 216)
One atom of each set of equivalent atoms:
Co  0.000  0.000  0.000 [4 per cell]
Co  0.250  0.250  0.250 [4 per cell]
Ru  0.000  0.000  0.500 [4 per cell]
Rh  0.250  0.250  0.750 [4 per cell]

Properties
E above lowest polymorph, meV/atom: 248
Magnetization, μB per atom: 1.169
N(E_F), states/eV/atom: 2.067

---

Entry from Alexandria: an optimized crystal structure of CoRu2Rh (PBE).

a = 2.683 Å, b = 3.734 Å, c = 5.310 Å
α = 90.00°, β = 90.00°, γ = 90.00°
Space group Pmm2 (No. 25)
One atom of each set of equivalent atoms:
Co  0.000  0.000  0.000 [1 per cell]
Ru  0.000  0.000  0.510 [1 per cell]
Ru  0.500  0.500  0.756 [1 per cell]
Rh  0.500  0.500  0.242 [1 per cell]

Properties
E above lowest polymorph, meV/atom: 0
Magnetization, μB per atom: 0.355
N(E_F), states/eV/atom: 1.348

---

Entry from Alexandria: an optimized crystal structure of CoRu2Rh (PBE).

a = 4.513 Å, b = 4.513 Å, c = 2.703 Å
α = 90.00°, β = 90.00°, γ = 90.00°
Space group P4/mmm (No. 123)
One atom of each set of equivalent atoms:
Co  0.000  0.000  0.000 [1 per cell]
Ru  0.000  0.500  0.500 [2 per cell]
Rh  0.500  0.500  0.000 [1 per cell]

Properties
E above lowest polymorph, meV/atom: 305
Magnetization, μB per atom: 0.843
N(E_F), states/eV/atom: 1.809

---

Entry from Alexandria: an optimized crystal structure of Co2RuRh (PBE).

a = 4.335 Å, b = 4.335 Å, c = 2.732 Å
α = 90.00°, β = 90.00°, γ = 90.00°
Space group P4/mmm (No. 123)
One atom of each set of equivalent atoms:
Co  0.000  0.500  0.000 [2 per cell]
Ru  0.000  0.000  0.500 [1 per cell]
Rh  0.500  0.500  0.500 [1 per cell]

Properties
E above lowest polymorph, meV/atom: 157
Magnetization, μB per atom: 1.218
N(E_F), states/eV/atom: 1.771

---

Entry from Alexandria: an optimized crystal structure of CoRuRh2 (PBE).

a = 2.693 Å, b = 2.693 Å, c = 7.394 Å
α = 90.00°, β = 90.00°, γ = 90.00°
Space group P4/mmm (No. 123)
One atom of each set of equivalent atoms:
Co  0.000  0.000  0.000 [1 per cell]
Ru  0.000  0.000  0.500 [1 per cell]
Rh  0.500  0.500  0.243 [2 per cell]

Properties
E above lowest polymorph, meV/atom: 0
Magnetization, μB per atom: 0.484
N(E_F), states/eV/atom: 1.291

---

Entry from Alexandria: an optimized crystal structure of CoRuRh (PBE).

a = 2.730 Å, b = 4.531 Å, c = 13.212 Å
α = 90.00°, β = 90.00°, γ = 90.00°
Space group Fmm2 (No. 42)
One atom of each set of equivalent atoms:
Co  0.000  0.000  0.000 [4 per cell]
Ru  0.000  0.000  0.660 [4 per cell]
Rh  0.000  0.000  0.336 [4 per cell]

Properties
E above lowest polymorph, meV/atom: 246
Magnetization, μB per atom: 1.019
N(E_F), states/eV/atom: 1.706

---

Entry from Alexandria: an optimized crystal structure of CoRu2Rh (PBE).

a = 3.750 Å, b = 3.750 Å, c = 7.540 Å
α = 90.00°, β = 90.00°, γ = 90.00°
Space group I-4m2 (No. 119)
One atom of each set of equivalent atoms:
Co  0.000  0.000  0.000 [2 per cell]
Ru  0.000  0.000  0.500 [2 per cell]
Ru  0.000  0.500  0.250 [2 per cell]
Rh  0.000  0.500  0.750 [2 per cell]

Properties
E above lowest polymorph, meV/atom: 22
Magnetization, μB per atom: 0.355
N(E_F), states/eV/atom: 1.486

---

Entry from Alexandria: an optimized crystal structure of CoRuRh2 (PBE).

a = 3.767 Å, b = 3.767 Å, c = 7.548 Å
α = 90.00°, β = 90.00°, γ = 90.00°
Space group I-4m2 (No. 119)
One atom of each set of equivalent atoms:
Co  0.000  0.000  0.000 [2 per cell]
Ru  0.000  0.500  0.750 [2 per cell]
Rh  0.000  0.000  0.500 [2 per cell]
Rh  0.000  0.500  0.250 [2 per cell]

Properties
E above lowest polymorph, meV/atom: 35
Magnetization, μB per atom: 0.496
N(E_F), states/eV/atom: 1.419

---

Entry from Alexandria: an optimized crystal structure of Co2RuRh (PBE).

a = 2.723 Å, b = 4.339 Å, c = 4.455 Å
α = 90.00°, β = 90.00°, γ = 90.00°
Space group Pmmm (No. 47)
One atom of each set of equivalent atoms:
Co  0.000  0.000  0.000 [1 per cell]
Co  0.500  0.000  0.500 [1 per cell]
Ru  0.000  0.500  0.500 [1 per cell]
Rh  0.500  0.500  0.000 [1 per cell]

Properties
E above lowest polymorph, meV/atom: 206
Magnetization, μB per atom: 1.322
N(E_F), states/eV/atom: 1.563

---

Entry from Alexandria: an optimized crystal structure of Co2RuRh (PBE).

a = 8.515 Å, b = 2.628 Å, c = 4.589 Å
α = 90.00°, β = 99.97°, γ = 90.00°
Space group C2/m (No. 12)
One atom of each set of equivalent atoms:
Co  0.249  0.000  0.243 [4 per cell]
Ru  0.000  0.500  0.000 [2 per cell]
Rh  0.000  0.000  0.500 [2 per cell]

Properties
E above lowest polymorph, meV/atom: 38
Magnetization, μB per atom: 0.782
N(E_F), states/eV/atom: 1.571

---

Entry from Alexandria: an optimized crystal structure of CoRuRh2 (PBE).

a = 8.845 Å, b = 2.673 Å, c = 4.596 Å
α = 90.00°, β = 100.27°, γ = 90.00°
Space group C2/m (No. 12)
One atom of each set of equivalent atoms:
Co  0.000  0.000  0.000 [2 per cell]
Ru  0.000  0.500  0.500 [2 per cell]
Rh  0.248  0.500  0.247 [4 per cell]

Properties
E above lowest polymorph, meV/atom: 19
Magnetization, μB per atom: 0.392
N(E_F), states/eV/atom: 1.178

---

Entry from Alexandria: an optimized crystal structure of CoRu2Rh (PBE).

a = 8.802 Å, b = 2.665 Å, c = 4.602 Å
α = 90.00°, β = 100.11°, γ = 90.00°
Space group Cm (No. 8)
One atom of each set of equivalent atoms:
Co  0.000  0.000  0.000 [2 per cell]
Ru  0.247  0.500  0.249 [2 per cell]
Ru  0.498  0.000  0.490 [2 per cell]
Rh  0.250  0.000  0.758 [2 per cell]

Properties
E above lowest polymorph, meV/atom: 15
Magnetization, μB per atom: 0.303
N(E_F), states/eV/atom: 1.399

---

Entry from Alexandria: an optimized crystal structure of Co2RuRh2 (PBE).

a = 6.992 Å, b = 6.992 Å, c = 2.719 Å
α = 90.00°, β = 90.00°, γ = 90.00°
Space group P4/mbm (No. 127)
One atom of each set of equivalent atoms:
Co  0.120  0.380  0.000 [4 per cell]
Ru  0.000  0.000  0.000 [2 per cell]
Rh  0.176  0.676  0.500 [4 per cell]

Properties
E above lowest polymorph, meV/atom: 0
Magnetization, μB per atom: 1.036
N(E_F), states/eV/atom: 2.370

---

Entry from Alexandria: an optimized crystal structure of CoRu2Rh3 (PBE).

a = 5.3404 Å, b = 5.3404 Å, c = 6.5741 Å
α = 90.00°, β = 90.00°, γ = 120.00°
Space group P-3m1 (No. 164)
One atom of each set of equivalent atoms:
Co  0.3333  0.6667  0.3236 [2 per cell]
Ru  0.0000  0.0000  0.0000 [1 per cell]
Ru  0.0000  0.5000  0.0000 [3 per cell]
Rh  0.1676  0.3352  0.6679 [6 per cell]

Properties
Magnetization, μB per atom: 0.036
N(E_F), states/eV/atom: 0.926
E_tot, eV for the cell shown: -94.5

---

Entry from Alexandria: an optimized crystal structure of Co2RuRh (PBE).

a = 3.728 Å, b = 3.728 Å, c = 7.153 Å
α = 90.00°, β = 90.00°, γ = 90.00°
Space group I4/mmm (No. 139)
One atom of each set of equivalent atoms:
Co  0.000  0.500  0.250 [4 per cell]
Ru  0.000  0.000  0.000 [2 per cell]
Rh  0.000  0.000  0.500 [2 per cell]

Properties
E above lowest polymorph, meV/atom: 28
Magnetization, μB per atom: 0.631
N(E_F), states/eV/atom: 1.291

---

Entry from Alexandria: an optimized crystal structure of Co2RuRh (PBE).

a = 8.657 Å, b = 2.634 Å, c = 4.453 Å
α = 90.00°, β = 100.78°, γ = 90.00°
Space group Cm (No. 8)
One atom of each set of equivalent atoms:
Co  0.000  0.000  0.000 [2 per cell]
Co  0.243  0.500  0.232 [2 per cell]
Ru  0.493  0.000  0.481 [2 per cell]
Rh  0.247  0.000  0.741 [2 per cell]

Properties
E above lowest polymorph, meV/atom: 8
Magnetization, μB per atom: 0.594
N(E_F), states/eV/atom: 1.342

---

Entry from Alexandria: an optimized crystal structure of CoRuRh (PBE).

a = 2.674 Å, b = 2.674 Å, c = 10.924 Å
α = 90.00°, β = 90.00°, γ = 90.00°
Space group I4mm (No. 107)
One atom of each set of equivalent atoms:
Co  0.000  0.000  0.000 [2 per cell]
Ru  0.000  0.000  0.343 [2 per cell]
Rh  0.000  0.000  0.667 [2 per cell]

Properties
E above lowest polymorph, meV/atom: 13
Magnetization, μB per atom: 0.416
N(E_F), states/eV/atom: 1.444

---

Entry from Alexandria: an optimized crystal structure of CoRu2Rh (PBE).

a = 6.039 Å, b = 6.039 Å, c = 6.039 Å
α = 90.00°, β = 90.00°, γ = 90.00°
Space group F-43m (No. 216)
One atom of each set of equivalent atoms:
Co  0.000  0.000  0.000 [4 per cell]
Ru  0.000  0.000  0.500 [4 per cell]
Ru  0.250  0.250  0.250 [4 per cell]
Rh  0.250  0.250  0.750 [4 per cell]

Properties
E above lowest polymorph, meV/atom: 322
Magnetization, μB per atom: 0.886
N(E_F), states/eV/atom: 2.036

---

Entry from Alexandria: an optimized crystal structure of CoRuRh2 (PBE).

a = 3.750 Å, b = 3.750 Å, c = 7.589 Å
α = 90.00°, β = 90.00°, γ = 90.00°
Space group I4/mmm (No. 139)
One atom of each set of equivalent atoms:
Co  0.000  0.000  0.000 [2 per cell]
Ru  0.000  0.000  0.500 [2 per cell]
Rh  0.000  0.500  0.250 [4 per cell]

Properties
E above lowest polymorph, meV/atom: 13
Magnetization, μB per atom: 0.401
N(E_F), states/eV/atom: 1.271

---

Entry from Alexandria: an optimized crystal structure of CoRu2Rh (PBE).

a = 3.720 Å, b = 3.720 Å, c = 7.618 Å
α = 90.00°, β = 90.00°, γ = 90.00°
Space group I4/mmm (No. 139)
One atom of each set of equivalent atoms:
Co  0.000  0.000  0.000 [2 per cell]
Ru  0.000  0.500  0.250 [4 per cell]
Rh  0.000  0.000  0.500 [2 per cell]

Properties
E above lowest polymorph, meV/atom: 36
Magnetization, μB per atom: 0.001
N(E_F), states/eV/atom: 1.352

---

Entry from Alexandria: an optimized crystal structure of CoRuRh2 (PBE).

a = 6.061 Å, b = 6.061 Å, c = 6.061 Å
α = 90.00°, β = 90.00°, γ = 90.00°
Space group Fm-3m (No. 225)
One atom of each set of equivalent atoms:
Co  0.000  0.000  0.000 [4 per cell]
Ru  0.000  0.000  0.500 [4 per cell]
Rh  0.250  0.250  0.250 [8 per cell]

Properties
E above lowest polymorph, meV/atom: 324
Magnetization, μB per atom: 1.003
N(E_F), states/eV/atom: 1.734

---

Entry from Alexandria: an optimized crystal structure of CoRu2Rh (PBE).

a = 2.746 Å, b = 4.384 Å, c = 8.980 Å
α = 90.00°, β = 90.00°, γ = 90.00°
Space group Imm2 (No. 44)
One atom of each set of equivalent atoms:
Co  0.000  0.000  0.000 [2 per cell]
Ru  0.000  0.000  0.510 [2 per cell]
Ru  0.000  0.500  0.276 [2 per cell]
Rh  0.000  0.500  0.731 [2 per cell]

Properties
E above lowest polymorph, meV/atom: 225
Magnetization, μB per atom: 0.481
N(E_F), states/eV/atom: 1.580

---

Entry from Alexandria: an optimized crystal structure of Co2RuRh (PBE).

a = 2.710 Å, b = 4.456 Å, c = 8.648 Å
α = 90.00°, β = 90.00°, γ = 90.00°
Space group Cmm2 (No. 35)
One atom of each set of equivalent atoms:
Co  0.000  0.000  0.000 [2 per cell]
Co  0.000  0.500  0.229 [2 per cell]
Ru  0.000  0.500  0.751 [2 per cell]
Rh  0.000  0.000  0.481 [2 per cell]

Properties
E above lowest polymorph, meV/atom: 205
Magnetization, μB per atom: 1.108
N(E_F), states/eV/atom: 1.486